# SrFe2Au PBEsol relaxed
data_SrFe2Au
_chemical_formula_sum 'Sr4 Fe8 Au4'
_space_group_name_H-M_alt 'F -4 3 m'
_space_group_IT_number 216
_space_group_name_Hall 'F -4 2 3'
_cell_length_a 6.6405
_cell_length_b 6.6405
_cell_length_c 6.6405
_cell_angle_alpha 90.00
_cell_angle_beta 90.00
_cell_angle_gamma 90.00
loop_
_atom_site_label
_atom_site_fract_x
_atom_site_fract_y
_atom_site_fract_z
Sr1 0.0000 0.0000 0.0000
Fe1 0.0000 0.0000 0.5000
Fe2 0.2500 0.2500 0.7500
Au1 0.2500 0.2500 0.2500
# E: -5.333 eV/atom
# D(E_F): 0.839 states/eV per atom

---

# LiCu2Ir PBEsol relaxed
data_LiCu2Ir
_chemical_formula_sum 'Li1 Cu2 Ir1'
_space_group_name_H-M_alt 'P m m m'
_space_group_IT_number 47
_cell_length_a 2.4873
_cell_length_b 3.9313
_cell_length_c 5.0774
_cell_angle_alpha 90.00
_cell_angle_beta 90.00
_cell_angle_gamma 90.00
loop_
_space_group_symop_operation_xyz
'x,y,z'
'-x,-y,-z'
'-x,-y,z'
'x,y,-z'
'x,-y,-z'
'-x,y,z'
'-x,y,-z'
'x,-y,z'
loop_
_atom_site_label
_atom_site_fract_x
_atom_site_fract_y
_atom_site_fract_z
Li1 0.0000 0.0000 0.0000
Cu1 0.5000 0.5000 0.2541
Ir1 0.0000 0.0000 0.5000
# E: -5.066 eV/atom
# D(E_F): 0.616 states/eV per atom
# excess energy over the best structure of this formula in the dataset: 107 meV per atom

---

# Mo2RhAu PBEsol relaxed
data_Mo2RhAu
_chemical_formula_sum 'Mo4 Rh2 Au2'
_space_group_name_H-M_alt 'C m m m'
_space_group_IT_number 65
_space_group_name_Hall '-C 2 2'
_cell_length_a 5.3924
_cell_length_b 8.1326
_cell_length_c 2.7296
_cell_angle_alpha 90.00
_cell_angle_beta 90.00
_cell_angle_gamma 90.00
loop_
_atom_site_label
_atom_site_fract_x
_atom_site_fract_y
_atom_site_fract_z
Mo1 0.2500 0.2500 0.0000
Rh1 0.0000 0.0000 0.5000
Au1 0.0000 0.5000 0.5000
# E: -8.855 eV/atom
# D(E_F): 0.724 states/eV per atom
# excess energy over the best structure of this formula in the dataset: 49 meV per atom

---

# Er2ZnIr PBEsol relaxed
data_Er2ZnIr
_chemical_formula_sum 'Er8 Zn4 Ir4'
_space_group_name_H-M_alt 'F m -3 m'
_space_group_IT_number 225
_space_group_name_Hall '-F 4 2 3'
_cell_length_a 6.7926
_cell_length_b 6.7926
_cell_length_c 6.7926
_cell_angle_alpha 90.00
_cell_angle_beta 90.00
_cell_angle_gamma 90.00
loop_
_atom_site_label
_atom_site_fract_x
_atom_site_fract_y
_atom_site_fract_z
Er1 0.2500 0.2500 0.2500
Zn1 0.0000 0.0000 0.0000
Ir1 0.0000 0.0000 0.5000
# E: -5.966 eV/atom
# D(E_F): 0.523 states/eV per atom